## ZnW (PBE-GGA)

Data for ZnW after structural relaxation.

Cell: 4.943 4.497 5.440 Å, 90.00 90.00 90.00°
Positions (direct):
Zn1 0.088 0.250 0.119
Zn2 0.412 0.750 0.619
Zn3 0.588 0.250 0.381
Zn4 0.912 0.750 0.881
W1 0.087 0.250 0.617
W2 0.413 0.750 0.117
W3 0.587 0.250 0.883
W4 0.913 0.750 0.383

Computed properties:
The calculation puts the formation energy at 0.301 eV per atom.

## Ce7Pu2Os2 (PBE-GGA)

Data for Ce7Pu2Os2 after structural relaxation.

Cell: 7.330 7.330 7.330 Å, 136.46 99.37 96.44°
Positions (direct):
Ce1 0.000 0.000 0.000
Ce2 0.128 0.313 0.816
Ce3 0.335 0.000 0.335
Ce4 0.497 0.313 0.184
Ce5 0.503 0.687 0.816
Ce6 0.665 0.000 0.665
Ce7 0.872 0.687 0.184
Pu1 0.126 0.500 0.626
Pu2 0.874 0.500 0.374
Os1 0.262 0.762 0.500
Os2 0.738 0.238 0.500

Computed properties:
The calculation puts the formation energy at 0.064 eV per atom.

## K2MgTaCd (PBE-GGA)

Data for K2MgTaCd after structural relaxation.

Cell: 6.323 6.323 5.306 Å, 90.00 90.00 90.00°
Positions (direct):
K1 0.000 0.500 0.000
K2 0.500 0.000 0.000
Mg1 0.000 0.000 0.000
Ta1 0.500 0.500 0.500
Cd1 0.000 0.000 0.500

Computed properties:
The calculation puts the formation energy at 1.467 eV per atom.

## KLiMg (PBE-GGA)

Data for KLiMg after structural relaxation.

Cell: 3.802 4.668 12.707 Å, 90.10 98.41 90.01°
Positions (direct):
K1 0.000 0.000 0.000
K2 0.346 0.500 0.697
Li1 0.119 0.500 0.243
Li2 0.221 0.001 0.454
Mg1 0.631 0.000 0.267
Mg2 0.710 0.502 0.430

Computed properties:
The calculation puts the formation energy at 0.083 eV per atom.

## SrAlTc2 (PBE-GGA)

Data for SrAlTc2 after structural relaxation.

Cell: 3.162 4.979 9.905 Å, 90.00 90.00 90.00°
Positions (direct):
Sr1 0.000 0.000 0.000
Sr2 0.500 0.500 0.500
Al1 0.000 0.500 0.206
Al2 0.500 0.000 0.706
Tc1 0.000 0.000 0.470
Tc2 0.000 0.500 0.777
Tc3 0.500 0.000 0.277
Tc4 0.500 0.500 0.970

Computed properties:
The calculation puts the formation energy at 0.506 eV per atom.

## Ba2MgSe (PBE-GGA)

Data for Ba2MgSe after structural relaxation.

Cell: 12.806 4.429 5.467 Å, 90.00 99.76 90.00°
Positions (direct):
Ba1 0.000 0.000 0.000
Ba2 0.226 0.500 0.551
Ba3 0.500 0.500 0.000
Ba4 0.726 0.000 0.551
Mg1 0.441 0.000 0.464
Mg2 0.941 0.500 0.464
Se1 0.269 0.000 0.081
Se2 0.769 0.500 0.081

Computed properties:
The formation energy without anion corrections comes out at -0.778 eV per atom.

## CoAuSe (PBE-GGA)

Data for CoAuSe after structural relaxation.

Cell: 6.009 6.009 6.009 Å, 90.00 90.00 90.00°
Positions (direct):
Co1 0.000 0.000 0.000
Co2 0.000 0.500 0.500
Co3 0.500 0.000 0.500
Co4 0.500 0.500 0.000
Au1 0.250 0.250 0.750
Au2 0.250 0.750 0.250
Au3 0.750 0.250 0.250
Au4 0.750 0.750 0.750
Se1 0.250 0.250 0.250
Se2 0.250 0.750 0.750
Se3 0.750 0.250 0.750
Se4 0.750 0.750 0.250

Computed properties:
The formation energy without anion corrections comes out at 0.236 eV per atom.